(1)
DFT (PBE) results for crystalline La2Al2Ru2C at its relaxed geometry.

magnetization: 0.000 μB per cell
calculated formation energy: -479 meV per atom

Cell: 4.336 6.238 6.051 Å, 75.47 69.00 69.66°
Fractional coordinates of all 7 atoms:
Ru: 0.195 0.701 0.909
Ru: 0.805 0.299 0.091
Al: 0.836 0.602 0.727
Al: 0.164 0.398 0.273
La: 0.442 0.827 0.289
La: 0.558 0.173 0.711
C: 0.000 0.000 0.000

(2)
DFT (PBE) results for crystalline La2AlSbC at its relaxed geometry.

magnetization: 0.000 μB per cell
energy relative to the elements, uncorrected: 0.132 eV/atom

Cell: 5.902 3.715 5.902 Å, 90.00 90.00 90.00°
Fractional coordinates of all 5 atoms:
C: 0.000 0.500 0.000
La: 0.500 0.000 0.000
La: 0.000 0.000 0.500
Sb: 0.500 0.500 0.500
Al: 0.000 0.000 0.000

(3)
DFT (PBE) results for crystalline La2AlSbC at its relaxed geometry.

magnetization: 0.000 μB per cell
energy relative to the elements, uncorrected: -0.516 eV/atom

Cell: 5.420 5.420 4.043 Å, 90.00 90.00 90.00°
Fractional coordinates of all 5 atoms:
C: 0.000 0.000 0.000
La: 0.000 0.500 0.000
La: 0.500 0.000 0.000
Sb: 0.500 0.500 0.500
Al: 0.000 0.000 0.500

(4)
DFT (PBE) results for crystalline LaSc2AlC at its relaxed geometry.

magnetization: 0.000 μB per cell
calculated formation energy: -336 meV per atom

Cell: 4.615 4.615 5.132 Å, 90.00 90.00 90.00°
Fractional coordinates of all 5 atoms:
La: 0.000 0.000 0.500
Al: 0.500 0.500 0.500
Sc: 0.500 0.000 0.000
Sc: 0.000 0.500 0.000
C: 0.000 0.000 0.000

(5)
DFT (PBE) results for crystalline La2ScAlC at its relaxed geometry.

magnetization: 0.000 μB per cell
calculated formation energy: -261 meV per atom

Cell: 5.269 5.269 4.523 Å, 90.00 90.00 90.00°
Fractional coordinates of all 5 atoms:
La: 0.500 0.000 0.000
La: 0.000 0.500 0.000
C: 0.000 0.000 0.000
Al: 0.500 0.500 0.500
Sc: 0.000 0.000 0.500

(6)
DFT (PBE) results for crystalline La2AlSiC at its relaxed geometry.

magnetization: 0.000 μB per cell
energy relative to the elements, uncorrected: -0.292 eV/atom

Cell: 5.336 5.336 3.905 Å, 90.00 90.00 90.00°
Fractional coordinates of all 5 atoms:
La: 0.500 0.000 0.000
La: 0.000 0.500 0.000
Si: 0.500 0.500 0.500
Al: 0.000 0.000 0.500
C: 0.000 0.000 0.000